A relaxed structure of CaCrH2N, computed with GGA-PBE.

Summary:
The density of states at the Fermi level is 1.94 states/eV/f.u. The energy is -5.8676 eV per atom. Its space group is P4/mmm.

```
CaCrH2N
1.0
3.607 0.000 0.000
0.000 3.607 0.000
0.000 0.000 3.754
Ca Cr H N
1 1 2 1
Cartesian
0.000 0.000 0.000 Ca
1.804 1.804 1.877 Cr
0.000 1.804 1.877 H
1.804 0.000 1.877 H
1.804 1.804 0.000 N
```